(1)
DFT (GGA-PBE) results for a geometry-optimized ZrTc2PdS structure.

Lattice parameters (Å, degrees): 4.9094 4.9094 4.9173 90.00 90.00 90.00
With the nearest neighbours (Å) after each atom.
Space group P4/mmm (No. 123)
One atom of each set of equivalent atoms:
Zr1 0.0000 0.0000 0.0000 (multiplicity 1)  4 Tc 2.45, 2 Pd 2.46
Tc1 0.0000 0.5000 0.0000 (multiplicity 2)  2 Zr 2.45
Pd1 0.0000 0.0000 0.5000 (multiplicity 1)  2 Zr 2.46
S1 0.5000 0.5000 0.5000 (multiplicity 1)  4 Pd 3.47, 8 Tc 3.47

(2)
DFT (GGA-PBE) results for a geometry-optimized TePdS2 structure.

Lattice parameters (Å, degrees): 3.8647 3.8647 23.0615 90.00 90.00 120.00
With the nearest neighbours (Å) after each atom.
Space group R-3m (No. 166, hexagonal axes)
One atom of each set of equivalent atoms:
Te1 0.0000 0.0000 0.0000 (multiplicity 3)  6 S 2.74
Pd1 0.0000 0.0000 0.5000 (multiplicity 3)  2 S 2.25
S1 0.0000 0.0000 0.4023 (multiplicity 6)  1 Pd 2.25

(3)
DFT (GGA-PBE) results for a geometry-optimized TePdS structure.

Lattice parameters (Å, degrees): 3.8627 3.8627 4.8421 90.00 90.00 120.00
With the nearest neighbours (Å) after each atom.
Space group P3m1 (No. 156)
One atom of each set of equivalent atoms:
Te1 0.0000 0.0000 0.0000 (multiplicity 1)  3 Pd 2.66
Pd1 0.3333 0.6667 0.6989 (multiplicity 1)  3 S 2.52, 3 Te 2.66
S1 0.6667 0.3333 0.4557 (multiplicity 1)  3 Pd 2.52

## Properties
E above lowest polymorph ... 35 meV per atom

Number 1: ΔE_f (raw) 8.86 eV/f.u.. Number 2: ΔE_f (raw) 0.88 eV/f.u.. Number 3: ΔE_f (raw) -0.69 eV/f.u..